Computed, not measured: an optimized crystal structure of Cs2SrScI6 at the PBE level of DFT.

Lattice parameters (Å, degrees): 8.7585 12.3969 8.7707 90.00 90.00 90.00
Space group Pmmn (No. 59, origin choice 2)
Unique sites:
Cs1 0.2500 0.0016 0.2496 x4
Sr1 0.2500 0.2500 0.7484 x2
Sc1 0.2500 0.7500 0.7518 x2
I1 0.0101 0.7500 0.5128 x4
I2 0.0109 0.7500 0.9912 x4
I3 0.2500 0.5106 0.7512 x4

E_form (uncorrected)   -1.414 eV per atom
Size of the total moment   1.00 μB/f.u.
Volume   47.6 Å³ per atom

Computed, not measured: an optimized crystal structure of CaTa4Au at the PBE level of DFT.

Lattice parameters (Å, degrees): 7.9135 7.9135 7.9135 90.00 90.00 90.00
Space group F-43m (No. 216)
Unique sites:
Ca1 0.0000 0.0000 0.0000 x4
Ta1 0.1269 0.1269 0.6269 x16
Au1 0.2500 0.2500 0.2500 x4

Size of the total moment   0.00 μB/f.u.
Formation enthalpy at 0 K   423 meV per atom
Volume   20.6 Å³ per atom

Computed, not measured: an optimized crystal structure of AcSmErTm at the PBE level of DFT.

Lattice parameters (Å, degrees): 6.3625 3.6714 12.0278 90.00 100.12 90.00
Space group Cm (No. 8)
Unique sites:
Ac1 0.0000 0.0000 0.0000 x2
Sm1 0.2431 0.0000 0.7308 x2
Er1 0.3304 0.5000 0.4915 x2
Tm1 0.4181 0.0000 0.2575 x2

Excess energy over the best structure of this formula in the dataset   0.0000 eV/atom
Size of the total moment   0.00 μB/f.u.
Formation enthalpy at 0 K   74 meV per atom
Volume   34.6 Å³ per atom

Computed, not measured: an optimized crystal structure of NaThSb2 at the PBE level of DFT.

Lattice parameters (Å, degrees): 4.6707 4.6707 20.7340 90.00 90.00 120.00
Space group R3m (No. 160, hexagonal axes)
Unique sites:
Na1 0.0000 0.0000 0.0000 x3
Th1 0.0000 0.0000 0.8244 x3
Sb1 0.0000 0.0000 0.2423 x3
Sb2 0.0000 0.0000 0.4088 x3

Excess energy over the best structure of this formula in the dataset   0.0524 eV/atom
E_form (uncorrected)   -0.511 eV per atom
Size of the total moment   0.00 μB/f.u.
Volume   32.6 Å³ per atom

Computed, not measured: an optimized crystal structure of Hf3BeRe at the PBE level of DFT.

Lattice parameters (Å, degrees): 4.5527 4.5527 4.5527 90.00 90.00 90.00
Space group Pm-3m (No. 221)
Unique sites:
Hf1 0.0000 0.0000 0.5000 x3
Be1 0.0000 0.0000 0.0000 x1
Re1 0.5000 0.5000 0.5000 x1

Excess energy over the best structure of this formula in the dataset   0.0000 eV/atom
Size of the total moment   0.00 μB/f.u.
Formation enthalpy at 0 K   607 meV per atom
Volume   18.9 Å³ per atom

Computed, not measured: an optimized crystal structure of Pr4Nd8Th at the PBE level of DFT.

Lattice parameters (Å, degrees): 11.2859 11.2859 13.7871 90.00 90.00 120.00
Space group R-3m (No. 166, hexagonal axes)
Unique sites:
Pr1 0.0000 0.0000 0.0000 x3
Pr2 0.0000 0.5000 0.0000 x9
Nd1 0.0000 0.0000 0.2403 x6
Nd2 0.0125 0.5063 0.7463 x18
Th1 0.0000 0.0000 0.5000 x3

Size of the total moment   1.70 μB/f.u.
Formation enthalpy at 0 K   475 meV per atom
Volume   39.0 Å³ per atom

Computed, not measured: an optimized crystal structure of ScAgI at the PBE level of DFT.

Lattice parameters (Å, degrees): 3.7591 3.7591 13.7130 90.00 90.00 120.00
Space group P-6m2 (No. 187)
Unique sites:
Sc1 0.0000 0.0000 0.1377 x2
Ag1 0.6667 0.3333 0.0000 x1
Ag2 0.6667 0.3333 0.5000 x1
I1 0.6667 0.3333 0.2842 x2

E_form (uncorrected)   -0.259 eV per atom
Size of the total moment   0.00 μB/f.u.
Volume   28.0 Å³ per atom

Computed, not measured: an optimized crystal structure of HfPtRhAu at the PBE level of DFT.

Lattice parameters (Å, degrees): 4.1369 4.1369 7.8133 90.00 90.00 90.00
Space group I-4m2 (No. 119)
Unique sites:
Hf1 0.0000 0.0000 0.0000 x2
Pt1 0.0000 0.5000 0.7500 x2
Rh1 0.0000 0.5000 0.2500 x2
Au1 0.0000 0.0000 0.5000 x2

Size of the total moment   0.00 μB/f.u.
Formation enthalpy at 0 K   -773 meV per atom
Volume   16.7 Å³ per atom